A plane-wave DFT calculation with PBE with a Hubbard U was carried out for crystalline CsRb2CoO2 at its relaxed geometry.

Properties
final energy = -3.972 eV per atom

a = 6.133 Å, b = 11.261 Å, c = 4.739 Å
α = 90.00°, β = 90.00°, γ = 90.00°
Element x y z (fractional)
1 Cs 0.000 0.000 0.000
2 Cs 0.500 0.500 0.500
3 Rb 0.048 0.275 0.500
4 Rb 0.452 0.775 0.000
5 Rb 0.548 0.225 0.000
6 Rb 0.952 0.725 0.500
7 Co 0.000 0.500 0.000
8 Co 0.500 0.000 0.500
9 O 0.198 0.384 0.000
10 O 0.302 0.884 0.500
11 O 0.698 0.116 0.500
12 O 0.802 0.616 0.000